This record from Alexandria via LeMat-Bulk describes a relaxed EuDyErMg crystal. The functional is PBE-GGA.

abc: 5.5633 5.5633 5.5633
angles: 60.00 60.00 60.00
Closest atoms and distances in Å follow each position.
Element x y z (fractional)
Mg: 0.0000 0.0000 0.0000  4 Dy 3.41, 4 Er 3.41
Dy: 0.7500 0.7500 0.7500  4 Mg 3.41, 4 Eu 3.41
Er: 0.2500 0.2500 0.2500  4 Mg 3.41, 4 Eu 3.41
Eu: 0.5000 0.5000 0.5000  4 Dy 3.41, 4 Er 3.41

Computed properties:
Final energy in hartree per atom: -0.1900
Space-group type: F-43m (216)
E_form in meV/atom: 88